[1]
The following is a PBE calculation of a geometry-optimized SrIn structure, from the Alexandria database.

```
data_SrIn
_chemical_formula_sum 'Sr4 In4'
_cell_length_a 6.8538
_cell_length_b 6.8538
_cell_length_c 6.8538
_cell_angle_alpha 90.00
_cell_angle_beta 90.00
_cell_angle_gamma 90.00
_space_group_name_H-M_alt 'F m -3 m'
_space_group_IT_number 225
_space_group_name_Hall '-F 4 2 3'
loop_
_atom_site_label
_atom_site_type_symbol
_atom_site_fract_x
_atom_site_fract_y
_atom_site_fract_z
Sr1 Sr 0.0000 0.0000 0.0000
In1 In 0.0000 0.0000 0.5000
```

Computed properties:
ΔH_f (0 K), eV per atom: -0.0878

[2]
The following is a PBE calculation of a geometry-optimized AlAs2Os structure, from the Alexandria database.

```
data_AlAs2Os
_chemical_formula_sum 'Al2 As4 Os2'
_cell_length_a 2.9338
_cell_length_b 5.0172
_cell_length_c 9.6796
_cell_angle_alpha 90.00
_cell_angle_beta 90.00
_cell_angle_gamma 90.00
_space_group_name_H-M_alt 'C m m 2'
_space_group_IT_number 35
_space_group_name_Hall 'C 2 -2'
loop_
_atom_site_label
_atom_site_type_symbol
_atom_site_fract_x
_atom_site_fract_y
_atom_site_fract_z
Al1 Al 0.0000 0.0000 0.0000
As1 As 0.0000 0.0000 0.5765
As2 As 0.0000 0.5000 0.2330
Os1 Os 0.0000 0.5000 0.7882
```

Computed properties:
ΔH_f (0 K), eV per atom: 0.2444